DFT (PBE-GGA) results for ReSi2Ni2 after structural relaxation.

Properties
- ΔE to the lowest computed polymorph (eV per atom) = 0.203
- formation energy from raw total energies (eV per formula unit) = -0.538

Structure (CIF):
```
data_ReSi2Ni2
_chemical_formula_sum 'Re1 Si2 Ni2'
_symmetry_space_group_name_H-M 'P 1'
_symmetry_Int_Tables_number 1
_cell_length_a 5.7901
_cell_length_b 5.7901
_cell_length_c 5.7901
_cell_angle_alpha 145.41
_cell_angle_beta 145.41
_cell_angle_gamma 49.73
loop_
_symmetry_equiv_pos_as_xyz
'x,y,z'
loop_
_atom_site_label
_atom_site_type_symbol
_atom_site_fract_x
_atom_site_fract_y
_atom_site_fract_z
Si1 Si 0.3901 0.3901 0.0000
Re1 Re 0.0000 0.0000 0.0000
Si2 Si 0.6099 0.6099 0.0000
Ni1 Ni 0.2500 0.7500 0.5000
Ni2 Ni 0.7500 0.2500 0.5000
```